Entry 1:
First-principles (meta-GGA SCAN) data for a crystal of Cr2CoRh relaxed with PBEsol, as listed in Alexandria.

a b c (Å): 2.5434 4.3813 4.3813
angles (deg): 109.87 90.00 90.00
Fractional coordinates of all 4 atoms:
Rh 0.5000 0.5000 0.5000
Co 0.5000 0.0000 0.0000
Cr 0.0000 0.0000 0.5000
Cr 0.0000 0.5000 0.0000

Output
total energy: -87.4 eV/cell

***

Entry 2:
First-principles (meta-GGA SCAN) data for a crystal of Cr2CoRh relaxed with PBEsol, as listed in Alexandria.

a b c (Å): 2.5575 4.3360 4.3962
angles (deg): 99.77 106.91 90.00
Fractional coordinates of all 4 atoms:
Co 0.0000 0.5000 0.0000
Cr 0.2541 0.2647 0.5082
Cr 0.7459 0.7353 0.4918
Rh 0.5000 0.0000 0.0000

Output
total energy: -87.0 eV/cell

***

Entry 3:
First-principles (meta-GGA SCAN) data for a crystal of Cr2CoRh relaxed with PBEsol, as listed in Alexandria.

a b c (Å): 2.8785 2.8785 5.5861
angles (deg): 90.00 90.00 90.00
Fractional coordinates of all 4 atoms:
Co 0.5000 0.5000 0.7935
Cr 0.0000 0.0000 0.9769
Cr 0.5000 0.5000 0.2319
Rh 0.0000 0.0000 0.4977

Output
total energy: -87.1 eV/cell

***

Entry 4:
First-principles (meta-GGA SCAN) data for a crystal of Cr2CoRh relaxed with PBEsol, as listed in Alexandria.

a b c (Å): 2.5507 3.5385 5.0702
angles (deg): 90.00 90.00 90.00
Fractional coordinates of all 4 atoms:
Rh 0.5000 0.5000 0.0000
Co 0.5000 0.5000 0.5000
Cr 0.0000 0.0000 0.7295
Cr 0.0000 0.0000 0.2705

Output
total energy: -87.6 eV/cell

***

Entry 5:
First-principles (meta-GGA SCAN) data for a crystal of Cr2CoRh relaxed with PBEsol, as listed in Alexandria.

a b c (Å): 2.5358 2.5358 7.1037
angles (deg): 90.00 90.00 90.00
Fractional coordinates of all 4 atoms:
Rh 0.5000 0.5000 0.0000
Co 0.5000 0.5000 0.5000
Cr 0.0000 0.0000 0.7366
Cr 0.0000 0.0000 0.2634

Output
total energy: -87.4 eV/cell

***

Entry 6:
First-principles (meta-GGA SCAN) data for a crystal of CrCoRu relaxed with PBEsol, as listed in Alexandria.

a b c (Å): 2.8805 2.8805 4.7365
angles (deg): 107.70 107.70 90.00
Site moments in Bohr magnetons follow the coordinates.
Fractional coordinates of all 3 atoms:
Co 0.0126 0.0126 0.0251  1.76
Cr 0.6608 0.6608 0.3216  0.95
Ru 0.3266 0.3266 0.6532  -0.01

Output
total energy: -70.2 eV/cell

***

Entry 7:
First-principles (meta-GGA SCAN) data for a crystal of CrCoRu2 relaxed with PBEsol, as listed in Alexandria.

a b c (Å): 3.6229 3.6229 4.4605
angles (deg): 113.96 113.96 90.00
Site moments in Bohr magnetons follow the coordinates.
Fractional coordinates of all 4 atoms:
Ru 0.0000 0.0000 0.0000  -0.43
Ru 0.7500 0.2500 0.5000  -0.18
Co 0.5000 0.5000 0.0000  -1.11
Cr 0.2500 0.7500 0.5000  1.99

Output
total energy: -104.8 eV/cell

***

Entry 8:
First-principles (meta-GGA SCAN) data for a crystal of CrCoRu2 relaxed with PBEsol, as listed in Alexandria.

a b c (Å): 2.5881 2.5881 7.1733
angles (deg): 90.00 90.00 90.00
Fractional coordinates of all 4 atoms:
Co 0.5000 0.5000 0.0000
Cr 0.5000 0.5000 0.5000
Ru 0.0000 0.0000 0.7524
Ru 0.0000 0.0000 0.2476

Output
total energy: -104.4 eV/cell

***

Entry 9:
First-principles (meta-GGA SCAN) data for a crystal of CrCoRu2 relaxed with PBEsol, as listed in Alexandria.

a b c (Å): 3.5670 3.6636 3.6636
angles (deg): 90.00 90.00 90.00
Site moments in Bohr magnetons follow the coordinates.
Fractional coordinates of all 4 atoms:
Ru 0.0000 0.0000 0.5000  -0.60
Ru 0.0000 0.5000 0.0000  -0.60
Co 0.5000 0.5000 0.5000  -1.23
Cr 0.5000 0.0000 0.0000  2.17

Output
total energy: -105.0 eV/cell

***

Entry 10:
First-principles (meta-GGA SCAN) data for a crystal of CrCoRu2 relaxed with PBEsol, as listed in Alexandria.

a b c (Å): 2.8155 4.1327 4.8843
angles (deg): 115.03 106.75 90.00
Site moments in Bohr magnetons follow the coordinates.
Fractional coordinates of all 4 atoms:
Co 0.4826 0.4826 0.9652  1.80
Cr 0.7638 0.2638 0.5276  1.46
Ru 0.0150 0.0150 0.0299  0.08
Ru 0.2386 0.7386 0.4773  0.07

Output
total energy: -104.5 eV/cell

***

Entry 11:
First-principles (meta-GGA SCAN) data for a crystal of CrCoRu relaxed with PBEsol, as listed in Alexandria.

a b c (Å): 3.8581 3.8581 3.8581
angles (deg): 60.00 60.00 60.00
Site moments in Bohr magnetons follow the coordinates.
Fractional coordinates of all 3 atoms:
Co 0.2500 0.2500 0.2500  0.71
Cr 0.0000 0.0000 0.0000  2.78
Ru 0.5000 0.5000 0.5000  0.09

Output
total energy: -68.5 eV/cell

***

Entry 12:
First-principles (meta-GGA SCAN) data for a crystal of CrCoRu2 relaxed with PBEsol, as listed in Alexandria.

a b c (Å): 2.6009 3.9341 4.8590
angles (deg): 90.00 105.52 90.00
Site moments in Bohr magnetons follow the coordinates.
Fractional coordinates of all 4 atoms:
Ru 0.0782 0.0000 0.1564  0.15
Ru 0.4185 0.5000 0.8370  0.14
Co 0.8133 0.0000 0.6266  1.22
Cr 0.6864 0.5000 0.3728  -0.97

Output
total energy: -104.7 eV/cell

***

Entry 13:
First-principles (meta-GGA SCAN) data for a crystal of CrCo2Sb relaxed with PBEsol, as listed in Alexandria.

a b c (Å): 3.7687 3.7687 8.5794
angles (deg): 102.69 102.69 90.00
Site moments in Bohr magnetons follow the coordinates.
Fractional coordinates of all 8 atoms:
Sb 0.2500 0.7500 0.5000  -0.06
Sb 0.0000 0.0000 0.0000  -0.06
Co 0.4165 0.8750 0.2500  -1.39
Co 0.8335 0.3750 0.2500  -1.39
Co 0.1250 0.1665 0.7500  -1.39
Co 0.6250 0.5835 0.7500  -1.39
Cr 0.7500 0.2500 0.5000  2.77
Cr 0.5000 0.5000 0.0000  2.77

Output
ΔE_f (raw): 2.32 eV/f.u.
total energy: -175.9 eV/cell

***

Entry 14:
First-principles (meta-GGA SCAN) data for a crystal of CrCoSb relaxed with PBEsol, as listed in Alexandria.

a b c (Å): 2.9981 2.9981 5.7814
angles (deg): 90.00 90.00 120.00
Site moments in Bohr magnetons follow the coordinates.
Fractional coordinates of all 3 atoms:
Co 0.0000 0.0000 0.9727  1.26
Cr 0.3333 0.6667 0.6982  2.21
Sb 0.6667 0.3333 0.3291  -0.04

Output
ΔE_f (raw): 1.86 eV/f.u.
total energy: -71.1 eV/cell

***

Entry 15:
First-principles (meta-GGA SCAN) data for a crystal of CrCo2Sb relaxed with PBEsol, as listed in Alexandria.

a b c (Å): 3.7188 3.7188 4.5143
angles (deg): 114.32 114.32 90.00
Site moments in Bohr magnetons follow the coordinates.
Fractional coordinates of all 4 atoms:
Co 0.5000 0.5000 0.0000  0.00
Co 0.7500 0.2500 0.5000  -1.23
Cr 0.0000 0.0000 0.0000  2.87
Sb 0.2500 0.7500 0.5000  -0.04

Output
ΔE_f (raw): 0.72 eV/f.u.
total energy: -89.5 eV/cell

***

Entry 16:
First-principles (meta-GGA SCAN) data for a crystal of ScCrCo2 relaxed with PBEsol, as listed in Alexandria.

a b c (Å): 2.9309 2.9309 5.9942
angles (deg): 90.00 90.00 90.00
Site moments in Bohr magnetons follow the coordinates.
Fractional coordinates of all 4 atoms:
Co 0.0000 0.0000 0.0358  1.43
Co 0.5000 0.5000 0.2594  1.75
Cr 0.0000 0.0000 0.4441  -1.25
Sc 0.5000 0.5000 0.7607  -0.04

Output
total energy: -66.5 eV/cell

***

Entry 17:
First-principles (meta-GGA SCAN) data for a crystal of ScCr2Co relaxed with PBEsol, as listed in Alexandria.

a b c (Å): 2.9081 2.9081 6.0930
angles (deg): 90.00 90.00 90.00
Site moments in Bohr magnetons follow the coordinates.
Fractional coordinates of all 4 atoms:
Co 0.5000 0.5000 0.7745  1.18
Cr 0.0000 0.0000 0.0122  1.75
Cr 0.5000 0.5000 0.2058  -2.14
Sc 0.0000 0.0000 0.5075  -0.20

Output
total energy: -67.9 eV/cell

***

Entry 18:
First-principles (meta-GGA SCAN) data for a crystal of ScCrCo2 relaxed with PBEsol, as listed in Alexandria.

a b c (Å): 3.5327 3.5327 4.6903
angles (deg): 112.12 112.12 90.00
Site moments in Bohr magnetons follow the coordinates.
Fractional coordinates of all 4 atoms:
Co 0.0000 0.0000 0.0000  -1.39
Co 0.7500 0.2500 0.5000  -0.86
Cr 0.5000 0.5000 0.0000  3.21
Sc 0.2500 0.7500 0.5000  0.28

Output
total energy: -66.5 eV/cell

***

Entry 19:
First-principles (meta-GGA SCAN) data for a crystal of Sc2CrCo relaxed with PBEsol, as listed in Alexandria.

a b c (Å): 3.7507 3.7507 5.2917
angles (deg): 110.76 110.76 90.00
Site moments in Bohr magnetons follow the coordinates.
Fractional coordinates of all 4 atoms:
Co 0.5000 0.5000 0.0000  1.30
Cr 0.2500 0.7500 0.5000  3.35
Sc 0.0000 0.0000 0.0000  -0.32
Sc 0.7500 0.2500 0.5000  -0.11

Output
total energy: -63.7 eV/cell

***

Entry 20:
First-principles (meta-GGA SCAN) data for a crystal of ScCrCo relaxed with PBEsol, as listed in Alexandria.

a b c (Å): 4.1592 4.1592 4.1592
angles (deg): 60.00 60.00 60.00
Site moments in Bohr magnetons follow the coordinates.
Fractional coordinates of all 3 atoms:
Co 0.0000 0.0000 0.0000  -0.51
Cr 0.5000 0.5000 0.5000  3.84
Sc 0.2500 0.2500 0.2500  0.35

Output
total energy: -47.3 eV/cell